Record 1
# La2YPuN5

A relaxed La2YPuN5 crystal (PBE-GGA, the Alexandria database).

a b c (Å): 3.640 7.279 11.433
angles (deg): 90.00 90.00 104.48
Sites, in units of the cell vectors:
Y1 0.769 0.538 0.506
La1 0.899 0.799 0.189
N1 0.063 0.125 0.056
N2 0.396 0.791 0.021
N3 0.732 0.464 0.156
N4 0.331 0.663 0.391
La2 0.856 0.713 0.762
La3 0.101 0.201 0.689
N5 0.268 0.536 0.656
N6 0.517 0.034 0.284
Y2 0.231 0.462 0.006
Pu1 0.532 0.063 0.959
Pu2 0.468 0.937 0.459
N7 0.669 0.337 0.891
N8 0.604 0.209 0.521
N9 0.483 0.966 0.784
La4 0.144 0.287 0.262
N10 0.937 0.875 0.556

E_form (uncorrected): -1.14 eV per atom
DFT total energy: -9.17 eV per atom
M_tot: 2.0 μB/f.u.
N(E_F): 10.05 states/eV per cell


Record 2
# Cs2Sc4Ga

A relaxed Cs2Sc4Ga crystal (PBE-GGA, the Alexandria database).

a b c (Å): 5.257 5.257 12.278
angles (deg): 77.64 77.64 90.00
Sites, in units of the cell vectors:
Sc1 0.500 0.000 0.000
Sc2 0.108 0.108 0.784
Sc3 0.000 0.500 0.000
Ga1 0.000 0.000 0.000
Cs1 0.681 0.681 0.638
Sc4 0.892 0.892 0.216
Cs2 0.319 0.319 0.362

ΔE_f: 0.659 eV per atom
DFT total energy: -3.64 eV per atom
M_tot: 0.0 μB/f.u.
N(E_F): 18.34 states/eV per cell


Record 3
# LiThTe2

A relaxed LiThTe2 crystal (PBE-GGA, the Alexandria database).

a b c (Å): 6.229 6.229 12.328
angles (deg): 90.00 90.00 90.00
Sites, in units of the cell vectors:
Te1 0.750 0.000 0.365
Li1 0.251 0.999 0.875
Li2 0.749 0.499 0.375
Th1 0.750 0.500 0.875
Li3 0.749 0.001 0.125
Te2 0.250 0.500 0.865
Te3 0.750 0.000 0.885
Th2 0.250 0.000 0.375
Te4 0.250 0.000 0.635
Te5 0.250 0.500 0.385
Th3 0.250 0.500 0.125
Th4 0.750 0.000 0.625
Te6 0.250 0.000 0.115
Te7 0.750 0.500 0.615
Li4 0.251 0.501 0.625
Te8 0.750 0.500 0.135

E_form (uncorrected): -1.08 eV per atom
DFT total energy: -4.98 eV per atom
M_tot: 0.0 μB/f.u.
N(E_F): 9.18 states/eV per cell


Record 4
# TbCeHg4

A relaxed TbCeHg4 crystal (PBE-GGA, the Alexandria database).

a b c (Å): 5.041 6.076 6.076
angles (deg): 91.23 65.58 65.58
Sites, in units of the cell vectors:
Hg1 0.251 0.416 0.082
Hg2 0.749 0.584 0.918
Hg3 0.251 0.082 0.416
Hg4 0.749 0.918 0.584
Tb1 0.500 0.500 0.500
Ce1 0.000 0.000 0.000

E above lowest polymorph: 0.101 eV/atom
ΔE_f: -0.366 eV per atom
DFT total energy: -2.33 eV per atom
M_tot: 1.4 μB/f.u.
N(E_F): 7.97 states/eV per cell


Record 5
# Nd8Cd3Ru2

A relaxed Nd8Cd3Ru2 crystal (PBE-GGA, the Alexandria database).

a b c (Å): 9.738 9.738 5.241
angles (deg): 88.71 88.71 48.47
Sites, in units of the cell vectors:
Nd1 0.835 0.835 0.232
Nd2 0.443 0.899 0.257
Cd1 0.000 0.000 0.500
Nd3 0.429 0.429 0.257
Ru1 0.724 0.724 0.761
Nd4 0.571 0.571 0.743
Nd5 0.165 0.165 0.768
Nd6 0.557 0.101 0.743
Cd2 0.179 0.821 0.000
Nd7 0.899 0.443 0.257
Ru2 0.276 0.276 0.239
Cd3 0.821 0.179 0.000
Nd8 0.101 0.557 0.743

ΔE_f: -0.097 eV per atom
DFT total energy: -4.67 eV per atom
M_tot: 0.0 μB/f.u.
N(E_F): 13.31 states/eV per cell


Record 6
# SrTcW

A relaxed SrTcW crystal (PBE-GGA, the Alexandria database).

a b c (Å): 4.727 4.727 4.727
angles (deg): 60.00 60.00 60.00
Sites, in units of the cell vectors:
Tc1 0.000 0.000 0.000
W1 0.500 0.500 0.500
Sr1 0.250 0.250 0.250

E above lowest polymorph: 2.128 eV/atom
ΔE_f: 2.755 eV per atom
DFT total energy: -5.58 eV per atom
M_tot: 0.2 μB/f.u.
N(E_F): 2.46 states/eV per cell


DFT total energy of number 5 (Nd8Cd3Ru2)? -4.67 eV per atom